The following is a DFT calculation (PBE) of a geometry-optimized Li2Hf2Pd structure.

The value obtained for the total energy is -5.62 eV/atom. For the spin magnetization, the calculation gives 0.0 μB per formula unit. Its crystal system is tetragonal. The calculation puts the density at 8.64 g/cm3.

The structure belongs to space group I4/mmm (No. 139); the cell edges are 3.201, 3.201 and 17.914 Å and the angles 90.00°, 90.00° and 90.00°. The distinct sites, in fractional coordinates, are Li at (0.000, 0.500, 0.250), Hf at (0.000, 0.000, 0.098) and Pd at (0.000, 0.000, 0.500).